10
Lattice="-0.605 -3.147 2.695 -0.212 -2.696 -3.197 10.340 -1.494 0.575" Properties=species:S:1:pos:R:3 comment="Pm2VGe3Ir4 | the Alexandria database | GGA-PBE | optimized geometry" vol_a3_per_cell=183.5 e_tot_ev_per_cell=-75.272 formation_enthalpy_0k_ev_per_atom=-0.736 pbc="T T T"
Ir 0.000 0.000 0.000
Ir 3.693 -1.897 -1.387
Ir 6.239 -2.519 1.711
Ir -0.408 -2.922 -0.251
Ge 1.249 -1.544 -1.523
Ge 8.683 -2.872 1.847
Ge 5.170 -0.747 0.287
V 4.762 -3.669 0.036
Pm 2.276 -1.946 1.491
Pm 7.656 -2.470 -1.167


4
Lattice="7.658 -0.027 -0.016 7.098 2.876 -0.016 7.098 1.370 2.529" Properties=species:S:1:pos:R:3 comment="AsPRu2 | the Alexandria database | GGA-PBE | optimized geometry" vol_a3_per_cell=56.5 relative_energy_ev_per_fu=0.50 e_tot_ev_per_cell=-29.267 formation_enthalpy_0k_ev_per_atom=-0.164 pbc="T T T"
Ru 0.147 0.028 0.017
Ru 10.779 2.081 1.232
P 16.390 3.165 1.873
As 5.463 1.055 0.624


7
Lattice="4.256 0.000 0.000 0.000 4.256 0.000 0.000 0.000 11.029" Properties=species:S:1:pos:R:3 comment="Np2ScSb4 | the Alexandria database | GGA-PBE | optimized geometry" vol_a3_per_cell=199.8 e_tot_ev_per_cell=-50.755 formation_energy_uncorrected_ev_per_atom=-0.293 pbc="T T T"
Np 2.128 0.000 7.953
Np 0.000 2.128 3.075
Sb 2.128 2.128 5.514
Sb 2.128 0.000 1.976
Sb 0.000 0.000 5.514
Sb 0.000 2.128 9.053
Sc 2.128 2.128 0.000


13
Lattice="6.309 0.000 0.000 0.000 11.320 -6.491 0.000 0.114 13.271" Properties=species:S:1:pos:R:3 comment="K2Rb8Cd3 | the Alexandria database | GGA-PBE | optimized geometry" vol_a3_per_cell=952.4 e_tot_ev_per_cell=-11.859 formation_enthalpy_0k_ev_per_atom=0.063 pbc="T T T"
Rb 0.000 10.267 4.759
Rb 3.154 9.672 -2.876
Rb 3.154 3.962 0.393
Rb 6.309 4.686 8.141
Rb 0.000 6.748 -1.362
Rb 3.154 1.762 9.656
Rb 3.154 7.472 6.386
Rb 6.309 1.166 2.020
Cd 3.154 0.000 0.000
Cd 0.000 8.659 -4.964
Cd 0.000 2.775 11.743
K 3.155 8.544 1.767
K 3.154 2.890 5.012